A PBEsol-optimized structure of NaMgMo3. Source: Alexandria via LeMat-Bulk, functional SCAN.

Results
ΔE_f (eV per atom): 2.550
N(E_F) (states/eV/atom): 0.9919

Lattice parameters (Å, degrees): 4.539 4.539 4.539 90.00 90.00 90.00
Atoms (fractional coordinates):
Na 0.000 0.000 0.000
Mg 0.500 0.500 0.500
Mo 0.000 0.000 0.500
Mo 0.000 0.500 0.000
Mo 0.500 0.000 0.000